# 1
TlCuBr5: optimized geometry, GGA-PBE.

a = 7.915 Å, b = 7.940 Å, c = 9.296 Å
α = 106.36°, β = 109.05°, γ = 104.48°
Atoms (fractional coordinates):
Tl 0.106 0.394 0.232
Tl 0.894 0.606 0.768
Cu 0.000 0.000 0.500
Cu 0.500 0.500 0.000
Br 0.078 0.063 0.288
Br 0.229 0.710 0.013
Br 0.250 0.704 0.488
Br 0.303 0.271 0.702
Br 0.353 0.293 0.108
Br 0.647 0.707 0.892
Br 0.697 0.729 0.298
Br 0.750 0.296 0.512
Br 0.771 0.290 0.987
Br 0.922 0.937 0.712

Space group: P-1
Energy above the most stable polymorph in this dataset (kJ/mol of formula units): 11
Formation energy (no corrections) (eV/atom): -0.333
Total energy (eV per cell): -34.3

# 2
LiMn2AlC: optimized geometry, GGA-PBE.

a = 3.801 Å, b = 3.801 Å, c = 3.906 Å
α = 90.00°, β = 90.00°, γ = 90.00°
Atoms (fractional coordinates):
Li 0.000 0.000 0.000
Mn 0.000 0.500 0.500
Mn 0.500 0.000 0.500
Al 0.500 0.500 0.000
C 0.000 0.000 0.500

Space group: P4/mmm
Energy relative to the elements (eV/atom): -0.1004
Total energy (eV per cell): -33.7

no.,D(E_F) (states/eV/cell)
1,4.6
2,1.7